No. 1
Dy3AlC GGA-PBE optimized geometry; SG = Pm-3m, No. 221
1.0
4.885 0.000 0.000
0.000 4.885 0.000
0.000 0.000 4.885
Al Dy C
1 3 1
direct
0.000 0.000 0.000 Al
0.500 0.500 0.000 Dy
0.500 0.000 0.500 Dy
0.000 0.500 0.500 Dy
0.500 0.500 0.500 C

***

No. 2
Dy2AlC GGA-PBE optimized geometry; SG = R-3m, No. 166
1.0
-2.002 -1.930 -2.139
-0.945 -3.247 0.937
-8.343 1.552 3.530
Dy Al C
2 1 1
direct
0.883 0.883 0.351 Dy
0.117 0.117 0.649 Dy
0.000 0.000 0.000 Al
0.500 0.500 0.500 C

***

No. 3
DyAlC GGA-PBE optimized geometry; SG = P3m1, No. 156; relative energy among the computed polymorphs = 0.000 eV per atom
1.0
-0.255 -1.229 4.824
3.394 0.402 0.282
-2.094 2.656 0.566
Dy Al C
1 1 1
direct
0.085 0.000 0.000 Dy
0.550 0.667 0.333 Al
0.365 0.333 0.667 C

***

No. 4
Dy8AlC4 GGA-PBE optimized geometry; SG = C2/m, No. 12
1.0
-0.229 0.169 3.606
-2.824 -8.201 2.020
8.086 -3.427 2.488
Dy C Al
8 4 1
direct
0.558 0.656 0.229 Dy
0.149 0.326 0.375 Dy
0.854 0.989 0.303 Dy
0.474 0.348 0.704 Dy
0.815 0.338 0.031 Dy
0.178 0.014 0.631 Dy
0.882 0.677 0.558 Dy
0.216 0.665 0.902 Dy
0.665 0.168 0.501 C
0.366 0.835 0.433 C
0.183 0.497 0.137 C
0.848 0.507 0.797 C
0.516 0.002 0.967 Al

***

Number 1: ΔE_f -1.94 eV per formula unit. Number 2: ΔE_f 0.03 eV per formula unit. Number 3: ΔE_f -0.72 eV per formula unit. Number 4: ΔE_f -3.13 eV per formula unit.